# 1
Compound: LiNiMoF6
Source: Alexandria
Functional: GGA+U
Structure: optimized geometry

Results
final energy: -5.08 eV per atom
crystal system: tetragonal
SG: P4_2nm

Cell: 4.8074 4.8074 9.5353 Å, 90.00 90.00 90.00°
Element x y z (fractional)
Li (0.0000, 0.0000, 0.0000)
Li (0.5000, 0.5000, 0.5000)
Ni (0.0000, 0.0000, 0.3306)
Ni (0.5000, 0.5000, 0.8306)
Mo (0.0000, 0.0000, 0.6658)
Mo (0.5000, 0.5000, 0.1658)
F (0.1910, 0.1910, 0.1675)
F (0.1955, 0.1955, 0.4940)
F (0.2010, 0.2010, 0.8337)
F (0.2990, 0.7010, 0.3337)
F (0.3045, 0.6955, 0.9940)
F (0.3090, 0.6910, 0.6675)
F (0.6910, 0.3090, 0.6675)
F (0.6955, 0.3045, 0.9940)
F (0.7010, 0.2990, 0.3337)
F (0.7990, 0.7990, 0.8337)
F (0.8045, 0.8045, 0.4940)
F (0.8090, 0.8090, 0.1675)

=====

# 2
Compound: Li2MoPF
Source: Alexandria
Functional: GGA+U
Structure: optimized geometry

Results
final energy: -4.56 eV per atom
crystal system: tetragonal
SG: P4/mmm

Cell: 3.8160 3.8160 5.2244 Å, 90.00 90.00 90.00°
Element x y z (fractional)
Li (0.0000, 0.5000, 0.0000)
Li (0.5000, 0.0000, 0.0000)
Mo (0.0000, 0.0000, 0.5000)
P (0.5000, 0.5000, 0.5000)
F (0.0000, 0.0000, 0.0000)

=====

# 3
Compound: LiMoPF2
Source: Alexandria
Functional: GGA+U
Structure: optimized geometry

Results
final energy: -4.52 eV per atom
crystal system: tetragonal
SG: P4/mmm

Cell: 3.5956 3.5956 5.5812 Å, 90.00 90.00 90.00°
Element x y z (fractional)
Li (0.0000, 0.0000, 0.0000)
Mo (0.0000, 0.0000, 0.5000)
P (0.5000, 0.5000, 0.5000)
F (0.0000, 0.5000, 0.0000)
F (0.5000, 0.0000, 0.0000)